Entry 1:
## Te4Pt2Cl3 (PBE)

Data for crystalline Te4Pt2Cl3 at its relaxed geometry.

Results
Formation energy (no corrections): -3.91 eV per formula unit
Space-group type: No. 12

a b c (Å): 8.2408 11.6152 11.6152
angles (deg): 27.20 72.42 72.42
With the nearest neighbours (Å) after each atom.
Element x y z (fractional)
Pt  0.6704  0.1967  0.1966  6 Te 2.67-2.78
Pt  0.8296  0.8034  0.8033  6 Te 2.67-2.78
Te  0.4958  0.1148  0.1147  2 Pt 2.67-2.74, 3 Cl 2.75-2.78
Cl  0.9981  0.3998  0.3998  2 Te 2.75
Te  0.3479  0.2785  0.2783  4 Pt 2.69-2.78
Te  0.9958  0.1147  0.1148  2 Pt 2.67-2.74, 3 Cl 2.75-2.78
Cl  0.5019  0.6002  0.6002  2 Te 2.75
Te  0.1521  0.7217  0.7215  4 Pt 2.69-2.78
Te  0.8479  0.2783  0.2785  4 Pt 2.69-2.78
Te  0.5042  0.8852  0.8853  2 Pt 2.67-2.74, 3 Cl 2.75-2.78
Pt  0.3296  0.8033  0.8034  6 Te 2.67-2.78
Cl  0.2500  0.0000  0.0000  2 Te 2.78
Cl  0.0019  0.6002  0.6002  2 Te 2.75
Te  0.0042  0.8853  0.8852  2 Pt 2.67-2.74, 3 Cl 2.75-2.78
Cl  0.7500  0.0000  0.0000  2 Te 2.78
Te  0.6521  0.7215  0.7217  4 Pt 2.69-2.78
Cl  0.4981  0.3998  0.3998  2 Te 2.75
Pt  0.1704  0.1966  0.1967  6 Te 2.67-2.78


Entry 2:
## LiPt2Cl (PBE)

Data for crystalline LiPt2Cl at its relaxed geometry.

Results
Formation energy (no corrections): -0.08 eV per formula unit
Energy relative to the lowest polymorph listed for this composition: 0.3143 eV/atom
Space-group type: No. 166

a b c (Å): 11.5963 11.5963 11.5963
angles (deg): 13.39 13.39 13.39
With the nearest neighbours (Å) after each atom.
Element x y z (fractional)
Li  0.7500  0.7500  0.7500  6 Pt 2.65, 6 Li 2.70
Cl  0.2500  0.2500  0.2500  6 Cl 2.70
Pt  0.0214  0.0214  0.0214  3 Li 2.65, 6 Pt 2.70
Pt  0.4786  0.4786  0.4786  3 Li 2.65, 6 Pt 2.70


Entry 3:
## AlCuAu3 (PBE)

Data for crystalline AlCuAu3 at its relaxed geometry.

Results
Formation energy: -0.21 eV/atom
Energy relative to the lowest polymorph listed for this composition: 0.0000 eV/atom
Space-group type: No. 2

a b c (Å): 4.6504 4.6500 7.8520
angles (deg): 88.58 73.14 85.00
With the nearest neighbours (Å) after each atom.
Element x y z (fractional)
Au  0.7638  0.3435  0.1883  2 Al 2.70-2.71, 2 Cu 2.71, 5 Au 2.87-2.94
Al  0.3551  0.3453  0.0047  8 Au 2.70-2.77, 1 Cu 2.96
Au  0.4567  0.8459  0.8082  4 Cu 2.74-2.76, 4 Al 2.75-2.77, 2 Au 2.86-2.87
Cu  0.8592  0.8431  0.0037  8 Au 2.70-2.76, 1 Al 2.96
Al  0.0559  0.8435  0.6098  8 Au 2.70-2.77, 1 Cu 2.96
Au  0.2659  0.8439  0.1890  2 Al 2.70-2.71, 2 Cu 2.70-2.72, 5 Au 2.86-2.94
Au  0.9545  0.3429  0.8064  4 Cu 2.74-2.76, 4 Al 2.75-2.77, 2 Au 2.86-2.87
Cu  0.5521  0.3457  0.6109  8 Au 2.70-2.76, 1 Al 2.96
Au  0.6473  0.8452  0.4262  2 Al 2.70-2.71, 2 Cu 2.71, 5 Au 2.87-2.94
Au  0.1452  0.3449  0.4255  2 Al 2.70-2.71, 2 Cu 2.70-2.72, 5 Au 2.86-2.94


Values of total magnetic moment, in order: 0.00; 0.90; 0.00, all in μB per cell.
Values of calculated total energy, in order: -3.79; -3.98; -3.75, all in eV/atom.